Record 1
MnHPd PBE optimized geometry; calculated volume = 129.43 Å³ per cell
1.0
-3.7359 -2.0850 -1.7994
2.7802 -2.2248 -3.1942
-2.0729 -2.2300 6.8876
Mn Pd H
4 4 4
direct
0.2500 0.7869 0.0002 Mn
0.7500 0.2131 0.9998 Mn
0.2500 0.2869 0.5002 Mn
0.7500 0.7131 0.4998 Mn
0.2500 0.0601 0.7504 Pd
0.7500 0.4399 0.7496 Pd
0.2500 0.5601 0.2504 Pd
0.7500 0.9399 0.2496 Pd
0.0000 0.7501 0.7501 H
0.5000 0.7499 0.7499 H
0.0000 0.2499 0.2499 H
0.5000 0.2501 0.2501 H



Record 2
Mn2H3Pd2 PBE optimized geometry; calculated volume = 64.51 Å³ per cell
1.0
-0.8119 2.5533 0.9739
-3.2440 0.3614 -3.6521
-2.0673 -3.3839 2.9762
Pd H Mn
2 3 2
direct
0.8829 0.6353 0.7658 Pd
0.1171 0.3647 0.2342 Pd
0.7634 0.2029 0.5268 H
0.0000 0.0000 0.0000 H
0.2366 0.7971 0.4732 H
0.3711 0.1372 0.7421 Mn
0.6289 0.8628 0.2579 Mn



Record 3
MnH4Pd2 PBE optimized geometry; calculated volume = 112.72 Å³ per cell
1.0
2.8652 0.0000 0.0000
-1.4326 4.7334 0.0000
0.0000 0.0000 8.3111
Pd H Mn
4 8 2
direct
0.1330 0.2660 0.0721 Pd
0.1330 0.2660 0.4279 Pd
0.8670 0.7340 0.9279 Pd
0.8670 0.7340 0.5721 Pd
0.7798 0.5597 0.3748 H
0.9803 0.9607 0.7500 H
0.7798 0.5597 0.1252 H
0.5000 0.0000 0.5000 H
0.2202 0.4403 0.6252 H
0.5000 0.0000 0.0000 H
0.2202 0.4403 0.8748 H
0.0197 0.0393 0.2500 H
0.3927 0.7854 0.2500 Mn
0.6073 0.2146 0.7500 Mn



Record 4
MnH2Pd2 PBE optimized geometry; calculated volume = 48.02 Å³ per cell; polymorph energy (0 for the lowest one) = 1.38 eV/f.u.
1.0
-0.8773 -1.9834 1.7476
2.6273 -0.8578 0.3454
1.5244 2.4848 5.8049
Pd H Mn
2 2 1
direct
0.3529 0.3529 0.2942 Pd
0.6471 0.6471 0.7058 Pd
0.2500 0.7500 0.5000 H
0.7500 0.2500 0.5000 H
0.0000 0.0000 0.0000 Mn



Record 5
Mn2HPd9 PBE optimized geometry; calculated volume = 174.76 Å³ per cell
1.0
3.9321 0.0000 0.0000
0.0000 3.9321 0.0000
0.0000 0.0000 11.3031
Pd H Mn
9 1 2
direct
0.5000 0.0000 0.1558 Pd
0.5000 0.5000 0.3285 Pd
0.0000 0.5000 0.1558 Pd
0.5000 0.5000 0.6715 Pd
0.0000 0.5000 0.5000 Pd
0.5000 0.0000 0.8442 Pd
0.5000 0.0000 0.5000 Pd
0.5000 0.5000 0.0000 Pd
0.0000 0.5000 0.8442 Pd
0.0000 0.0000 0.0000 H
0.0000 0.0000 0.6758 Mn
0.0000 0.0000 0.3242 Mn



Record 6
MnH2Pd2 PBE optimized geometry; calculated volume = 109.92 Å³ per cell; polymorph energy (0 for the lowest one) = 0.10 eV/f.u.
1.0
-2.7520 -3.2595 3.4726
-2.2375 -2.6556 -4.2659
2.7768 -2.3425 0.0018
H Pd Mn
4 4 2
direct
0.1784 0.6784 0.0000 H
0.8216 0.3216 0.0000 H
0.6784 0.8216 0.0000 H
0.3216 0.1784 0.0000 H
0.8193 0.3193 0.5000 Pd
0.1807 0.6807 0.5000 Pd
0.6807 0.8193 0.5000 Pd
0.3193 0.1807 0.5000 Pd
0.5000 0.5000 0.0000 Mn
0.0000 0.0000 0.0000 Mn



Number 1: magnetization 1.353 μB per atom, total energy -5.98 eV/atom. Number 2: magnetization 0.996 μB per atom, total energy -5.61 eV/atom. Number 3: magnetization 0.523 μB per atom, total energy -4.71 eV/atom. Number 4: magnetization 0.000 μB per atom, total energy -5.02 eV/atom. Number 5: magnetization 0.714 μB per atom, total energy -5.69 eV/atom. Number 6: magnetization 0.840 μB per atom, total energy -5.28 eV/atom.